Entry 1:
## PuTi3 (PBE)

Data for a relaxed PuTi3 crystal.

Summary:
- Energy relative to the elements: 0.0646 eV per atom

a = 4.2260 Å, b = 4.2260 Å, c = 5.0825 Å
α = 114.57°, β = 114.57°, γ = 90.00°
Closest atoms and distances in Å follow each position.
Atoms (fractional coordinates):
1 Ti 0.7500 0.2500 0.5000  4 Pu 2.95, 8 Ti 2.95-2.99
2 Ti 0.2500 0.7500 0.5000  4 Pu 2.95, 8 Ti 2.95-2.99
3 Ti 0.5000 0.5000 0.0000  8 Ti 2.95, 4 Pu 2.99
4 Pu 0.0000 0.0000 0.0000  12 Ti 2.95-2.99

Entry 2:
## PuTi7 (PBE)

Data for a relaxed PuTi7 crystal.

Summary:
- Energy relative to the elements: 0.0667 eV per atom

a = 5.8493 Å, b = 5.8493 Å, c = 5.8493 Å
α = 60.00°, β = 60.00°, γ = 60.00°
Closest atoms and distances in Å follow each position.
Atoms (fractional coordinates):
1 Pu 0.0000 0.0000 0.0000  12 Ti 2.92
2 Ti 0.5000 0.5000 0.0000  10 Ti 2.92, 2 Pu 2.92
3 Ti 0.5000 0.0000 0.5000  10 Ti 2.92, 2 Pu 2.92
4 Ti 0.0000 0.5000 0.5000  10 Ti 2.92, 2 Pu 2.92
5 Ti 0.5000 0.0000 0.0000  10 Ti 2.92, 2 Pu 2.92
6 Ti 0.0000 0.5000 0.0000  10 Ti 2.92, 2 Pu 2.92
7 Ti 0.0000 0.0000 0.5000  10 Ti 2.92, 2 Pu 2.92
8 Ti 0.5000 0.5000 0.5000  12 Ti 2.92

Entry 3:
## PuTi3 (PBE)

Data for a relaxed PuTi3 crystal.

Summary:
- Energy relative to the elements: 0.0955 eV per atom

a = 2.9314 Å, b = 4.8332 Å, c = 5.2342 Å
α = 90.00°, β = 90.00°, γ = 90.00°
Closest atoms and distances in Å follow each position.
Atoms (fractional coordinates):
1 Ti 0.0000 0.0000 0.0079  2 Pu 2.91, 10 Ti 2.92-3.08
2 Ti 0.5000 0.0000 0.5263  8 Ti 2.85-3.08, 4 Pu 3.03
3 Ti 0.5000 0.5000 0.8154  8 Ti 2.85-3.00, 4 Pu 2.99-3.01
4 Pu 0.0000 0.5000 0.3170  10 Ti 2.91-3.03, 2 Pu 2.93

Entry 4:
## PuTi3 (PBE)

Data for a relaxed PuTi3 crystal.

Summary:
- Energy relative to the elements: 0.1139 eV per atom

a = 4.3183 Å, b = 7.6363 Å, c = 8.3414 Å
α = 90.00°, β = 90.00°, γ = 90.00°
Closest atoms and distances in Å follow each position.
Atoms (fractional coordinates):
1 Pu 0.7500 0.3199 0.2500  2 Pu 2.41
2 Pu 0.7500 0.8199 0.7500  2 Pu 2.41
3 Pu 0.2500 0.1801 0.2500  2 Pu 2.41
4 Pu 0.2500 0.6801 0.7500  2 Pu 2.41
5 Ti 0.2500 0.0987 0.7500  8 Ti 2.80-2.90, 2 Pu 3.03
6 Ti 0.7500 0.6198 0.0191  2 Pu 2.72-2.99, 8 Ti 2.80-2.94
7 Ti 0.7500 0.6198 0.4809  2 Pu 2.72-2.99, 8 Ti 2.80-2.94
8 Ti 0.7500 0.1198 0.5191  2 Pu 2.72-2.99, 8 Ti 2.80-2.94
9 Ti 0.7500 0.1198 0.9809  2 Pu 2.72-2.99, 8 Ti 2.80-2.94
10 Ti 0.2500 0.5987 0.2500  8 Ti 2.80-2.90, 2 Pu 3.03
11 Ti 0.7500 0.4013 0.7500  8 Ti 2.80-2.90, 2 Pu 3.03
12 Ti 0.2500 0.8802 0.0191  2 Pu 2.72-2.99, 8 Ti 2.80-2.94
13 Ti 0.2500 0.8802 0.4809  2 Pu 2.72-2.99, 8 Ti 2.80-2.94
14 Ti 0.2500 0.3802 0.5191  2 Pu 2.72-2.99, 8 Ti 2.80-2.94
15 Ti 0.2500 0.3802 0.9809  2 Pu 2.72-2.99, 8 Ti 2.80-2.94
16 Ti 0.7500 0.9013 0.2500  8 Ti 2.80-2.90, 2 Pu 3.03

Entry 5:
## Pu3Ti (PBE)

Data for a relaxed Pu3Ti crystal.

Summary:
- Energy relative to the elements: 0.2322 eV per atom

a = 5.0594 Å, b = 3.0830 Å, c = 5.5926 Å
α = 90.00°, β = 90.00°, γ = 90.00°
Closest atoms and distances in Å follow each position.
Atoms (fractional coordinates):
1 Ti 0.0000 0.0000 0.9748  10 Pu 2.98-3.22, 2 Ti 3.08
2 Pu 0.0000 0.5000 0.4794  8 Pu 3.02-3.20, 4 Ti 3.17-3.22
3 Pu 0.5000 0.5000 0.1843  8 Pu 3.02-3.24, 4 Ti 3.19
4 Pu 0.5000 0.0000 0.6949  2 Ti 2.98, 10 Pu 3.08-3.24

Entry 6:
## PuTi2 (PBE)

Data for a relaxed PuTi2 crystal.

Summary:
- Energy relative to the elements: 0.1227 eV per atom

a = 2.9513 Å, b = 2.9513 Å, c = 6.9153 Å
α = 102.39°, β = 102.39°, γ = 89.68°
Closest atoms and distances in Å follow each position.
Atoms (fractional coordinates):
1 Pu 0.3333 0.3333 0.6667  4 Pu 2.95, 8 Ti 3.12-3.13
2 Ti 0.0094 0.0094 0.0188  8 Ti 2.85-2.95, 4 Pu 3.12-3.13
3 Ti 0.6573 0.6573 0.3145  8 Ti 2.85-2.95, 4 Pu 3.12-3.13

Entry 7:
## PuTi3 (PBE)

Data for a relaxed PuTi3 crystal.

Summary:
- Energy relative to the elements: 0.1307 eV per atom

a = 4.6936 Å, b = 4.6936 Å, c = 4.6936 Å
α = 60.00°, β = 60.00°, γ = 60.00°
Closest atoms and distances in Å follow each position.
Atoms (fractional coordinates):
1 Ti 0.0000 0.0000 0.0000  8 Ti 2.87
2 Ti 0.7500 0.7500 0.7500  4 Pu 2.87, 4 Ti 2.87
3 Ti 0.2500 0.2500 0.2500  4 Pu 2.87, 4 Ti 2.87
4 Pu 0.5000 0.5000 0.5000  8 Ti 2.87

Entry 8:
## PuTi (PBE)

Data for a relaxed PuTi crystal.

Summary:
- Energy relative to the elements: 0.2199 eV per atom

a = 3.2640 Å, b = 3.2639 Å, c = 6.5804 Å
α = 90.00°, β = 90.00°, γ = 90.00°
Closest atoms and distances in Å follow each position.
Atoms (fractional coordinates):
1 Ti 0.7500 0.7500 0.6191  4 Ti 2.79, 5 Pu 2.97-3.08
2 Ti 0.2500 0.2500 0.3809  4 Ti 2.79, 5 Pu 2.97-3.08
3 Pu 0.7500 0.7500 0.0703  4 Pu 2.49
4 Pu 0.2500 0.2500 0.9297  4 Pu 2.49

Entry 9:
## PuTi3 (PBE)

Data for a relaxed PuTi3 crystal.

Summary:
- Energy relative to the elements: 0.0943 eV per atom

a = 2.8909 Å, b = 5.2374 Å, c = 5.6776 Å
α = 117.47°, β = 104.75°, γ = 90.00°
Closest atoms and distances in Å follow each position.
Atoms (fractional coordinates):
1 Ti 0.2368 0.5380 0.4736  1 Pu 2.70, 9 Ti 2.89-3.00
2 Ti 0.5000 0.5383 0.0000  8 Ti 2.89-2.98, 4 Pu 2.93-3.05
3 Ti 0.7632 0.0645 0.5264  1 Pu 2.70, 9 Ti 2.89-3.00
4 Pu 0.0000 0.0259 0.0000  4 Ti 2.70-2.93, 2 Pu 2.89

Entry 10:
## PuTi4 (PBE)

Data for a relaxed PuTi4 crystal.

Summary:
- Energy relative to the elements: 0.1967 eV per atom

a = 4.5865 Å, b = 5.1326 Å, c = 5.1326 Å
α = 78.48°, β = 63.46°, γ = 63.46°
Closest atoms and distances in Å follow each position.
Atoms (fractional coordinates):
1 Pu 0.0000 0.0000 0.0000  8 Ti 3.04
2 Ti 0.1928 0.3066 0.3079  1 Ti 2.50
3 Ti 0.5007 0.6921 0.3066  1 Ti 2.50
4 Ti 0.8072 0.6934 0.6921  1 Ti 2.50
5 Ti 0.4993 0.3079 0.6934  1 Ti 2.50

Entry 11:
## PuTi8 (PBE)

Data for a relaxed PuTi8 crystal.

Summary:
- Energy relative to the elements: 0.0577 eV per atom

a = 4.0845 Å, b = 6.5616 Å, c = 6.5616 Å
α = 84.44°, β = 71.87°, γ = 71.87°
Closest atoms and distances in Å follow each position.
Atoms (fractional coordinates):
1 Pu 0.0000 0.0000 0.0000  12 Ti 2.93-2.96
2 Ti 0.6682 0.0000 0.6636  10 Ti 2.89-2.97, 2 Pu 2.93
3 Ti 0.3318 0.0000 0.3364  10 Ti 2.89-2.97, 2 Pu 2.93
4 Ti 0.0000 0.3360 0.6640  11 Ti 2.89-2.93, 1 Pu 2.96
5 Ti 0.3318 0.3364 0.0000  10 Ti 2.89-2.97, 2 Pu 2.93
6 Ti 0.6640 0.3360 0.3360  11 Ti 2.89-2.93, 1 Pu 2.96
7 Ti 0.6682 0.6636 0.0000  10 Ti 2.89-2.97, 2 Pu 2.93
8 Ti 0.0000 0.6640 0.3360  11 Ti 2.89-2.93, 1 Pu 2.96
9 Ti 0.3360 0.6640 0.6640  11 Ti 2.89-2.93, 1 Pu 2.96

Entry 12:
## Pu3Ti (PBE)

Data for a relaxed Pu3Ti crystal.

Summary:
- Energy relative to the elements: 0.3803 eV per atom

a = 2.4402 Å, b = 5.7771 Å, c = 5.7290 Å
α = 120.28°, β = 102.30°, γ = 90.00°
Closest atoms and distances in Å follow each position.
Atoms (fractional coordinates):
1 Ti 0.0000 0.0822 0.0000  2 Ti 2.44
2 Pu 0.2675 0.5241 0.5351  3 Pu 2.44-2.47
3 Pu 0.5000 0.5713 0.0000  4 Pu 2.44-2.47
4 Pu 0.7325 0.9891 0.4649  3 Pu 2.44-2.47

Entry 13:
## PuTi4 (PBE)

Data for a relaxed PuTi4 crystal.

Summary:
- Energy relative to the elements: 0.6834 eV per atom

a = 4.5749 Å, b = 4.5749 Å, c = 4.5749 Å
α = 90.00°, β = 90.00°, γ = 90.00°
Closest atoms and distances in Å follow each position.
Atoms (fractional coordinates):
1 Ti 0.0000 0.0000 0.0000  12 Ti 3.23
2 Ti 0.5000 0.0000 0.5000  2 Pu 2.29
3 Ti 0.0000 0.5000 0.5000  2 Pu 2.29
4 Ti 0.5000 0.5000 0.0000  2 Pu 2.29
5 Pu 0.5000 0.5000 0.5000  6 Ti 2.29

Entry 14:
## PuTi (PBE)

Data for a relaxed PuTi crystal.

Summary:
- Energy relative to the elements: 0.2741 eV per atom

a = 3.4548 Å, b = 3.4548 Å, c = 3.4548 Å
α = 90.00°, β = 90.00°, γ = 90.00°
Closest atoms and distances in Å follow each position.
Atoms (fractional coordinates):
1 Ti 0.5000 0.5000 0.5000  8 Pu 2.99
2 Pu 0.0000 0.0000 0.0000  8 Ti 2.99